1.
VASP calculation (PBE with a Hubbard U) on crystalline Na2In2FeO6 at its relaxed geometry.

Raw total energy: -58.8 eV per formula unit
Crystal system: monoclinic

Unit cell a=5.523 b=9.411 c=5.850 alpha=90.00 beta=106.71 gamma=90.00
Space group C2/m (No. 12)
One atom of each set of equivalent atoms:
Na  0.000  0.158  0.000
In  0.000  0.336  0.500
Fe  0.000  0.000  0.500
O  0.208  0.152  0.695
O  0.237  0.000  0.307


2.
VASP calculation (PBE with a Hubbard U) on crystalline Na2InFeO4 at its relaxed geometry.

Raw total energy: -43.6 eV per formula unit
DOS(E_F): 0.0 states/eV/cell
Crystal system: monoclinic

Unit cell a=5.521 b=3.170 c=5.785 alpha=90.00 beta=108.62 gamma=90.00
Space group P2/m (No. 10)
One atom of each set of equivalent atoms:
Na  0.000  0.000  0.000
Na  0.500  0.500  0.000
In  0.000  0.500  0.500
Fe  0.500  0.000  0.500
O  0.252  0.000  0.709
O  0.279  0.500  0.295


3.
VASP calculation (PBE with a Hubbard U) on crystalline Na3In3FeO8 at its relaxed geometry.

Raw total energy: -79.6 eV per formula unit
Crystal system: monoclinic

Unit cell a=11.117 b=6.398 c=6.671 alpha=90.00 beta=123.71 gamma=90.00
Space group C2/m (No. 12)
One atom of each set of equivalent atoms:
Na  0.000  0.000  0.000
Na  0.250  0.250  0.000
In  0.000  0.500  0.500
In  0.250  0.250  0.500
Fe  0.000  0.000  0.500
O  0.009  0.222  0.304
O  0.215  0.000  0.695
O  0.237  0.500  0.712


4.
VASP calculation (PBE with a Hubbard U) on crystalline Na3InFe2O6 at its relaxed geometry.

Raw total energy: -63.4 eV per formula unit
DOS(E_F): 0.0 states/eV/cell
Crystal system: monoclinic

Unit cell a=5.343 b=9.187 c=5.705 alpha=90.00 beta=108.28 gamma=90.00
Space group C2/m (No. 12)
One atom of each set of equivalent atoms:
Na  0.000  0.000  0.000
Na  0.000  0.332  0.000
In  0.000  0.500  0.500
Fe  0.000  0.166  0.500
O  0.210  0.000  0.701
O  0.244  0.321  0.700